Record 1
A plane-wave DFT calculation with PBE was carried out for a geometry-optimized BaTi2Bi2 structure.

Output
* E: -25.85 eV per formula unit
* energy relative to the elements: -0.076 eV per atom
* polymorph energy (0 for the lowest one): 1.368 eV per formula unit
* D(E_F): 7.6 states/eV/cell

Cell: 8.596 8.596 3.736 Å, 90.00 90.00 90.00°
Element x y z (fractional)
Ba: 0.000 0.000 0.000
Ba: 0.500 0.500 0.000
Ti: 0.108 0.392 0.000
Ti: 0.392 0.892 0.000
Ti: 0.608 0.108 0.000
Ti: 0.892 0.608 0.000
Bi: 0.166 0.666 0.500
Bi: 0.334 0.166 0.500
Bi: 0.666 0.834 0.500
Bi: 0.834 0.334 0.500



Record 2
A plane-wave DFT calculation with PBE was carried out for a geometry-optimized Ba3TiBi structure.

Output
* E: -15.83 eV per formula unit
* energy relative to the elements: 0.344 eV per atom
* polymorph energy (0 for the lowest one): 0.000 eV per formula unit
* D(E_F): 10.1 states/eV/cell

Cell: 6.723 6.723 6.723 Å, 90.00 90.00 90.00°
Element x y z (fractional)
Ba: 0.000 0.000 0.500
Ba: 0.000 0.500 0.000
Ba: 0.500 0.000 0.000
Ti: 0.500 0.500 0.500
Bi: 0.000 0.000 0.000



Record 3
A plane-wave DFT calculation with PBE was carried out for a geometry-optimized BaTiZnBi2 structure.

Output
* E: -20.31 eV per formula unit
* energy relative to the elements: -0.290 eV per atom
* D(E_F): 3.8 states/eV/cell

Cell: 5.489 5.489 5.221 Å, 90.00 90.00 90.00°
Element x y z (fractional)
Ba: 0.000 0.000 0.000
Ti: 0.500 0.500 0.500
Zn: 0.500 0.500 0.000
Bi: 0.000 0.500 0.500
Bi: 0.500 0.000 0.500



Record 4
A plane-wave DFT calculation with PBE was carried out for a geometry-optimized BaZr2TiBi structure.

Output
* E: -23.03 eV per formula unit
* energy relative to the elements: 1.553 eV per atom
* D(E_F): 7.9 states/eV/cell

Cell: 5.411 5.411 4.888 Å, 90.00 90.00 90.00°
Element x y z (fractional)
Ba: 0.000 0.000 0.000
Zr: 0.000 0.500 0.000
Zr: 0.500 0.000 0.000
Ti: 0.000 0.000 0.500
Bi: 0.500 0.500 0.500



Record 5
A plane-wave DFT calculation with PBE was carried out for a geometry-optimized BaTlBi structure.

Output
* E: -9.91 eV per formula unit
* energy relative to the elements: -0.579 eV per atom
* polymorph energy (0 for the lowest one): 0.038 eV per formula unit
* D(E_F): 3.0 states/eV/cell

Cell: 8.864 5.148 10.373 Å, 90.00 90.00 90.00°
Element x y z (fractional)
Ba: 0.030 0.250 0.198
Ba: 0.470 0.750 0.698
Ba: 0.530 0.250 0.302
Ba: 0.970 0.750 0.802
Tl: 0.142 0.250 0.577
Tl: 0.358 0.750 0.077
Tl: 0.642 0.250 0.923
Tl: 0.858 0.750 0.423
Bi: 0.244 0.750 0.396
Bi: 0.256 0.250 0.896
Bi: 0.744 0.750 0.104
Bi: 0.756 0.250 0.604



Record 6
A plane-wave DFT calculation with PBE was carried out for a geometry-optimized Ba3Tl4Bi4 structure.

Output
* E: -36.35 eV per formula unit
* energy relative to the elements: -0.508 eV per atom
* D(E_F): 4.2 states/eV/cell

Cell: 10.187 10.187 10.187 Å, 151.34 123.40 64.66°
Element x y z (fractional)
Ba: 0.000 0.000 0.000
Ba: 0.384 0.884 0.500
Ba: 0.616 0.116 0.500
Tl: 0.022 0.324 0.698
Tl: 0.374 0.676 0.698
Tl: 0.626 0.324 0.302
Tl: 0.978 0.676 0.302
Bi: 0.220 0.220 0.000
Bi: 0.287 0.500 0.787
Bi: 0.713 0.500 0.213
Bi: 0.780 0.780 0.000



Record 7
A plane-wave DFT calculation with PBE was carried out for a geometry-optimized BaTl2Bi2 structure.

Output
* E: -15.73 eV per formula unit
* energy relative to the elements: -0.262 eV per atom
* polymorph energy (0 for the lowest one): 0.561 eV per formula unit
* D(E_F): 4.1 states/eV/cell

Cell: 9.073 9.073 4.547 Å, 90.00 90.00 90.00°
Element x y z (fractional)
Ba: 0.000 0.000 0.000
Ba: 0.500 0.500 0.000
Tl: 0.159 0.341 0.500
Tl: 0.341 0.841 0.500
Tl: 0.659 0.159 0.500
Tl: 0.841 0.659 0.500
Bi: 0.119 0.619 0.000
Bi: 0.381 0.119 0.000
Bi: 0.619 0.881 0.000
Bi: 0.881 0.381 0.000



Record 8
A plane-wave DFT calculation with PBE was carried out for a geometry-optimized Ba4Tl5Bi6 structure.

Output
* E: -49.87 eV per formula unit
* energy relative to the elements: -0.471 eV per atom
* D(E_F): 11.1 states/eV/cell

Cell: 12.168 12.168 18.307 Å, 90.00 90.00 154.24°
Element x y z (fractional)
Ba: 0.025 0.975 0.500
Ba: 0.041 0.959 0.762
Ba: 0.159 0.841 0.301
Ba: 0.169 0.831 0.952
Ba: 0.831 0.169 0.452
Ba: 0.841 0.159 0.801
Ba: 0.959 0.041 0.262
Ba: 0.975 0.025 0.000
Tl: 0.168 0.832 0.627
Tl: 0.319 0.681 0.623
Tl: 0.335 0.665 0.276
Tl: 0.342 0.658 0.970
Tl: 0.458 0.542 0.673
Tl: 0.542 0.458 0.173
Tl: 0.658 0.342 0.470
Tl: 0.665 0.335 0.776
Tl: 0.681 0.319 0.123
Tl: 0.832 0.168 0.127
Bi: 0.096 0.904 0.123
Bi: 0.234 0.766 0.477
Bi: 0.240 0.760 0.776
Bi: 0.414 0.586 0.126
Bi: 0.432 0.568 0.407
Bi: 0.447 0.553 0.851
Bi: 0.553 0.447 0.351
Bi: 0.568 0.432 0.907
Bi: 0.586 0.414 0.626
Bi: 0.760 0.240 0.276
Bi: 0.766 0.234 0.977
Bi: 0.904 0.096 0.623